NaGaGePd | Alexandria via LeMat-Bulk | PBE-GGA | relaxed; formation enthalpy at 0 K = -172 meV/atom; raw total energy = -3.71 eV/atom
1.0
0.000 3.241 3.241
3.241 0.000 3.241
3.241 3.241 0.000
Na Ga Ge Pd
1 1 1 1
direct
0.000 0.000 0.000 Na
0.750 0.750 0.750 Ga
0.250 0.250 0.250 Ge
0.500 0.500 0.500 Pd